Below is a relaxed structure of MnB2AuO, with properties calculated at the PBE with a Hubbard U level.

Properties
Symmetry   P4/mmm (123)
Volume   18.2 A^3/atom
M_tot   4.948 μB/cell
Energy   -4.680 eV per atom

Cell and atoms, written as POSCAR:
```
MnB2AuO
1.0
3.9133 0.0000 0.0000
0.0000 5.9419 0.0000
0.0000 0.0000 3.9133
B Mn O Au
2 1 1 1
Direct
0.0000 0.0000 0.5000
0.5000 0.0000 0.0000
0.5000 0.5000 0.5000
0.0000 0.5000 0.0000
0.0000 0.0000 0.0000
```